Record 1
A plane-wave DFT calculation with GGA-PBE was carried out for a relaxed structure of Mn2CdRe.

Density of states at the Fermi level   5.28 states/eV/cell
Theoretical density   11.0 g cm⁻³
ΔE_f   0.54 eV per atom
SG   P2/m (10)

```
Mn2CdRe
1.0
-2.116 1.393 0.902
-3.050 -2.569 -3.186
-2.543 -4.657 1.225
Cd Mn Re
1 2 1
Direct
0.000 0.000 0.500
0.500 0.500 0.000
0.000 0.000 0.000
0.500 0.500 0.500
```



Record 2
A plane-wave DFT calculation with GGA-PBE was carried out for a relaxed structure of Mn2CdRe.

Density of states at the Fermi level   0.78 states/eV/cell
Theoretical density   11.2 g cm⁻³
ΔE_f   0.55 eV per atom
SG   F-43m (216)

```
Mn2CdRe
1.0
-0.083 -3.418 -2.778
2.662 -0.051 -3.510
3.397 -2.801 -0.148
Mn Re Cd
2 1 1
Direct
0.000 0.000 0.000
0.750 0.750 0.750
0.250 0.250 0.250
0.500 0.500 0.500
```